1.
DFT (PBE) results for a geometry-optimized Sr4SnHg2 structure.

Computed properties:
Total DFT energy (no corrections) (eV/atom): -2.091
Calculated formation energy (eV per atom): -0.47
Fermi-level density of states (states/eV per atom): 0.816

Cell lengths 5.6543, 5.6543, 28.0759 Å; angles 90.00, 90.00, 120.00 degrees
With the nearest neighbours (Å) after each atom.
Space group R-3m (No. 166, hexagonal axes)
Inequivalent atoms, fractional coordinates:
Sr  0.0000  0.0000  0.1235 [6 per cell]  4 Hg 3.43-3.48, 1 Sn 3.47
Sr  0.0000  0.0000  0.3744 [6 per cell]  3 Sn 3.46, 4 Hg 3.50-3.56
Sn  0.0000  0.0000  0.0000 [3 per cell]  8 Sr 3.46-3.47
Hg  0.0000  0.0000  0.2476 [6 per cell]  8 Sr 3.43-3.56

=====

2.
DFT (PBE) results for a geometry-optimized SrSn2Hg6 structure.

Computed properties:
Total DFT energy (no corrections) (eV/atom): -1.425
Calculated formation energy (eV per atom): -0.15
Fermi-level density of states (states/eV per atom): 0.223
Polymorph energy (0 for the lowest one) (eV/atom): 0.000

Cell lengths 9.0915, 5.2825, 10.0901 Å; angles 90.00, 90.33, 90.00 degrees
With the nearest neighbours (Å) after each atom.
Space group C2/m (No. 12)
Inequivalent atoms, fractional coordinates:
Sr  0.0000  0.0000  0.0000 [2 per cell]  8 Hg 3.40-3.44, 6 Sn 3.63-3.65
Sn  0.1686  0.5000  0.1984 [4 per cell]  7 Hg 3.07-3.37
Hg  0.0021  0.0000  0.3408 [4 per cell]  10 Hg 3.21-3.59, 3 Sn 3.35-3.37, 1 Sr 3.44
Hg  0.1653  0.5000  0.8476 [4 per cell]  3 Sn 3.07-3.08, 3 Sr 3.40-3.41
Hg  0.1670  0.5000  0.5043 [4 per cell]  4 Hg 3.04-3.38, 1 Sn 3.09

=====

3.
DFT (PBE) results for a geometry-optimized Sr2Sn2Hg structure.

Computed properties:
Total DFT energy (no corrections) (eV/atom): -2.688
Calculated formation energy (eV per atom): -0.35
Fermi-level density of states (states/eV per atom): 0.768
Polymorph energy (0 for the lowest one) (eV/atom): 0.235

Cell lengths 4.2775, 4.2775, 18.9119 Å; angles 90.00, 90.00, 90.00 degrees
With the nearest neighbours (Å) after each atom.
Space group I4/mmm (No. 139)
Inequivalent atoms, fractional coordinates:
Sr  0.0000  0.0000  0.1013 [4 per cell]  4 Sn 3.53, 4 Hg 3.58, 1 Sr 3.83
Sn  0.0000  0.5000  0.2500 [4 per cell]  4 Sn 3.02
Hg  0.0000  0.0000  0.5000 [2 per cell]  8 Sr 3.58

=====

4.
DFT (PBE) results for a geometry-optimized Sr3SnHg7 structure.

Computed properties:
Total DFT energy (no corrections) (eV/atom): -1.372
Calculated formation energy (eV per atom): -0.36
Fermi-level density of states (states/eV per atom): 0.492

Cell lengths 4.9743, 22.4099, 12.0685 Å; angles 90.00, 90.00, 90.00 degrees
With the nearest neighbours (Å) after each atom.
Space group Cmcm (No. 63)
Inequivalent atoms, fractional coordinates:
Sr  0.0000  0.1146  0.0602 [8 per cell]  8 Hg 3.27-3.48
Sr  0.0000  0.2015  0.7500 [4 per cell]  7 Hg 3.30-3.54, 1 Sn 3.66
Sn  0.0000  0.0380  0.7500 [4 per cell]  8 Hg 3.27-3.31, 1 Sr 3.66
Hg  0.0000  0.2814  0.5124 [8 per cell]  3 Hg 2.87-2.96
Hg  0.0000  0.3487  0.7500 [4 per cell]  4 Hg 3.23-3.24, 5 Sr 3.30-3.48
Hg  0.0000  0.3897  0.1278 [8 per cell]  3 Hg 2.95-3.05
Hg  0.0000  0.4745  0.6189 [8 per cell]  4 Hg 3.05-3.23, 2 Sr 3.27, 2 Sn 3.27

=====

Q: What is the calculated formation energy in the third record?
A: -0.35 eV per atom

=====

Q: The highest total DFT energy (no corrections) belongs to which entry?
A: Sr3SnHg7

=====

Q: Look up the calculated formation energy of the fourth one.
A: -0.36 eV per atom

=====

Please write out number 2 again, unchanged.
DFT (PBE) results for a geometry-optimized SrSn2Hg6 structure.

Computed properties:
Total DFT energy (no corrections) (eV/atom): -1.425
Calculated formation energy (eV per atom): -0.15
Fermi-level density of states (states/eV per atom): 0.223
Polymorph energy (0 for the lowest one) (eV/atom): 0.000

Cell lengths 9.0915, 5.2825, 10.0901 Å; angles 90.00, 90.33, 90.00 degrees
With the nearest neighbours (Å) after each atom.
Space group C2/m (No. 12)
Inequivalent atoms, fractional coordinates:
Sr  0.0000  0.0000  0.0000 [2 per cell]  8 Hg 3.40-3.44, 6 Sn 3.63-3.65
Sn  0.1686  0.5000  0.1984 [4 per cell]  7 Hg 3.07-3.37
Hg  0.0021  0.0000  0.3408 [4 per cell]  10 Hg 3.21-3.59, 3 Sn 3.35-3.37, 1 Sr 3.44
Hg  0.1653  0.5000  0.8476 [4 per cell]  3 Sn 3.07-3.08, 3 Sr 3.40-3.41
Hg  0.1670  0.5000  0.5043 [4 per cell]  4 Hg 3.04-3.38, 1 Sn 3.09